1.
# NiPd2Ru

Crystalline NiPd2Ru at its relaxed geometry (PBE, Alexandria).

a b c (Å): 2.725 2.725 8.866
angles (deg): 81.16 81.16 60.00
Positions (direct):
Ru: 0.500 0.500 0.500
Pd: 0.748 0.748 0.757
Pd: 0.252 0.252 0.243
Ni: 0.000 0.000 0.000

As for the theoretical density: 11.027 Mg/m³. As for the symmetry: R-3m. As for the formation energy: 3.515 kcal/mol of atoms. The energy above the most stable polymorph in this dataset comes out at 0.00 eV per formula unit.

---

2.
# Ta2AgIr

Crystalline Ta2AgIr at its relaxed geometry (PBE, Alexandria).

a b c (Å): 9.677 9.677 9.677
angles (deg): 17.26 17.26 17.26
Positions (direct):
Ir: 0.746 0.746 0.746
Ag: 0.498 0.498 0.498
Ta: 0.251 0.251 0.251
Ta: 0.006 0.006 0.006

As for the theoretical density: 15.784 Mg/m³. As for the symmetry: R3m. As for the formation energy: 2.074 kcal/mol of atoms.

---

3.
# CuPbCO5

Crystalline CuPbCO5 at its relaxed geometry (PBE, Alexandria).

a b c (Å): 5.466 5.466 7.564
angles (deg): 109.50 109.50 94.36
Positions (direct):
O: 0.854 0.334 0.163
O: 0.297 0.402 0.607
O: 0.146 0.666 0.837
O: 0.131 0.869 0.250
O: 0.402 0.297 0.107
O: 0.869 0.131 0.750
O: 0.598 0.703 0.893
O: 0.334 0.854 0.663
O: 0.703 0.598 0.393
O: 0.666 0.146 0.337
Cu: 0.358 0.642 0.250
Cu: 0.642 0.358 0.750
Pb: 0.000 0.000 0.500
Pb: 0.000 0.000 0.000
C: 0.327 0.673 0.750
C: 0.673 0.327 0.250

As for the theoretical density: 6.137 Mg/m³. The value obtained for the raw formation energy is -0.738 eV/atom. As for the symmetry: C2/c.

---

4.
# Ba3Sm3MgSe8

Crystalline Ba3Sm3MgSe8 at its relaxed geometry (PBE, Alexandria).

a b c (Å): 8.554 8.556 9.002
angles (deg): 118.40 89.96 120.02
Positions (direct):
Ba: 0.500 0.500 0.000
Ba: 0.000 0.000 0.000
Ba: 0.000 0.500 0.000
Se: 0.232 0.977 0.709
Se: 0.768 0.023 0.291
Se: 0.255 0.023 0.291
Se: 0.740 0.480 0.720
Se: 0.768 0.536 0.291
Se: 0.232 0.464 0.709
Se: 0.260 0.520 0.280
Se: 0.745 0.977 0.709
Sm: 0.500 0.500 0.500
Sm: 0.000 0.500 0.500
Sm: 0.500 0.000 0.500
Mg: 0.000 0.000 0.500

As for the theoretical density: 5.290 Mg/m³. The value obtained for the raw formation energy is -1.820 eV/atom. As for the symmetry: R-3m.